GaReN2F, optimized geometry, DFT GGA-PBE; formation energy from raw total energies = 445.1 kJ/mol of formula units; E = -5.877 eV/atom; DOS at the Fermi energy = 1.5 states/eV/f.u.
1.0
3.966 0.000 0.000
0.000 3.966 0.000
0.000 0.000 3.651
Re N Ga F
1 2 1 1
Cartesian
1.983 1.983 1.825 Re
0.000 1.983 0.000 N
1.983 0.000 0.000 N
0.000 0.000 0.000 Ga
0.000 0.000 1.825 F